First-principles (PBE-GGA) data for a relaxed Ac2HgBi4 crystal, as listed in Alexandria.

## Properties
- Calculated formation energy: -0.5833 eV per atom
- Total DFT energy (no corrections): -28.13 eV for the cell shown
- Total magnetic moment: 0.00 μB per cell

The structure in CIF format:
```
data_Ac2HgBi4
_cell_length_a 4.7920
_cell_length_b 4.7920
_cell_length_c 10.6415
_cell_angle_alpha 90.00
_cell_angle_beta 90.00
_cell_angle_gamma 90.00
_space_group_name_H-M_alt 'P -4 m 2'
_space_group_IT_number 115
loop_
_space_group_symop_operation_xyz
'x,y,z'
'y,-x,-z'
'-x,-y,z'
'-y,x,-z'
'-x,y,z'
'-y,-x,-z'
'x,-y,z'
'y,x,-z'
loop_
_atom_site_label
_atom_site_type_symbol
_atom_site_fract_x
_atom_site_fract_y
_atom_site_fract_z
Ac1 Ac 0.0000 0.5000 0.2441
Hg1 Hg 0.5000 0.5000 0.0000
Bi1 Bi 0.0000 0.0000 0.5000
Bi2 Bi 0.0000 0.5000 0.8257
Bi3 Bi 0.5000 0.5000 0.5000
```

First-principles (PBE-GGA) data for a relaxed Nd2HoTmO6 crystal, as listed in Alexandria.

## Properties
- Total DFT energy (no corrections): -248.83 eV for the cell shown
- Total magnetic moment: 0.00 μB per cell

The structure in CIF format:
```
data_Nd2HoTmO6
_cell_length_a 5.9213
_cell_length_b 5.9213
_cell_length_c 15.1842
_cell_angle_alpha 90.00
_cell_angle_beta 90.00
_cell_angle_gamma 120.00
_space_group_name_H-M_alt 'R 3'
_space_group_IT_number 146
_space_group_name_Hall 'R 3'
loop_
_atom_site_label
_atom_site_type_symbol
_atom_site_fract_x
_atom_site_fract_y
_atom_site_fract_z
Nd1 Nd 0.0000 0.0000 0.0000
Nd2 Nd 0.0000 0.0000 0.4995
Ho1 Ho 0.0000 0.0000 0.2779
Tm1 Tm 0.0000 0.0000 0.7789
O1 O 0.0273 0.3913 0.0475
O2 O 0.0279 0.7263 0.8801
```

First-principles (PBE-GGA) data for a relaxed Mg7InPd2 crystal, as listed in Alexandria.

## Properties
- Calculated formation energy: -0.1637 eV per atom
- Total DFT energy (no corrections): -51.85 eV for the cell shown
- Total magnetic moment: 0.00 μB per cell

The structure in CIF format:
```
data_Mg7InPd2
_cell_length_a 8.1325
_cell_length_b 12.6870
_cell_length_c 4.9891
_cell_angle_alpha 90.00
_cell_angle_beta 90.00
_cell_angle_gamma 90.00
_space_group_name_H-M_alt 'C m m m'
_space_group_IT_number 65
_space_group_name_Hall '-C 2 2'
loop_
_atom_site_label
_atom_site_type_symbol
_atom_site_fract_x
_atom_site_fract_y
_atom_site_fract_z
Mg1 Mg 0.0000 0.0000 0.0000
Mg2 Mg 0.0000 0.2281 0.5000
Mg3 Mg 0.1909 0.3704 0.0000
In1 In 0.0000 0.5000 0.5000
Pd1 Pd 0.0000 0.2021 0.0000
```

First-principles (PBE-GGA) data for a relaxed YHfS2 crystal, as listed in Alexandria.

## Properties
- Total DFT energy (no corrections): -119.55 eV for the cell shown
- Total magnetic moment: 0.00 μB per cell

The structure in CIF format:
```
data_YHfS2
_cell_length_a 6.5951
_cell_length_b 6.5951
_cell_length_c 6.5951
_cell_angle_alpha 90.00
_cell_angle_beta 90.00
_cell_angle_gamma 90.00
_space_group_name_H-M_alt 'F m -3 m'
_space_group_IT_number 225
_space_group_name_Hall '-F 4 2 3'
loop_
_atom_site_label
_atom_site_type_symbol
_atom_site_fract_x
_atom_site_fract_y
_atom_site_fract_z
Y1 Y 0.0000 0.0000 0.0000
Hf1 Hf 0.0000 0.0000 0.5000
S1 S 0.2500 0.2500 0.2500
```

First-principles (PBE-GGA) data for a relaxed ZrSc2H crystal, as listed in Alexandria.

## Properties
- Total DFT energy (no corrections): -76.11 eV for the cell shown
- Total magnetic moment: 0.00 μB per cell

The structure in CIF format:
```
data_ZrSc2H
_cell_length_a 3.2659
_cell_length_b 3.2659
_cell_length_c 23.0967
_cell_angle_alpha 90.00
_cell_angle_beta 90.00
_cell_angle_gamma 120.00
_space_group_name_H-M_alt 'R -3 m'
_space_group_IT_number 166
_space_group_name_Hall '-R 3 2"'
loop_
_atom_site_label
_atom_site_type_symbol
_atom_site_fract_x
_atom_site_fract_y
_atom_site_fract_z
Zr1 Zr 0.0000 0.0000 0.0000
Sc1 Sc 0.0000 0.0000 0.2228
H1 H 0.0000 0.0000 0.5000
```

First-principles (PBE-GGA) data for a relaxed Tm5Th4Sc2 crystal, as listed in Alexandria.

## Properties
- Calculated formation energy: 0.0294 eV per atom
- Total DFT energy (no corrections): -128.75 eV for the cell shown
- Total magnetic moment: 0.00 μB per cell

The structure in CIF format:
```
data_Tm5Th4Sc2
_cell_length_a 22.8965
_cell_length_b 3.5254
_cell_length_c 8.4568
_cell_angle_alpha 90.00
_cell_angle_beta 105.16
_cell_angle_gamma 90.00
_space_group_name_H-M_alt 'C 1 2/m 1'
_space_group_IT_number 12
loop_
_space_group_symop_operation_xyz
'x,y,z'
'-x,-y,-z'
'-x,y,-z'
'x,-y,z'
'x+1/2,y+1/2,z'
'-x+1/2,-y+1/2,-z'
'-x+1/2,y+1/2,-z'
'x+1/2,-y+1/2,z'
loop_
_atom_site_label
_atom_site_type_symbol
_atom_site_fract_x
_atom_site_fract_y
_atom_site_fract_z
Tm1 Tm 0.0000 0.0000 0.0000
Tm2 Tm 0.1358 0.5000 0.0850
Tm3 Tm 0.2256 0.5000 0.8120
Th1 Th 0.0442 0.5000 0.3650
Th2 Th 0.1811 0.0000 0.4487
Sc1 Sc 0.0901 0.0000 0.7170
```

Look up the total magnetic moment of the third one. 0.00 μB per cell